Density functional theory data (PBE) for a geometry-optimized Sc6Cu2Ag structure.

Cell: 7.854 7.854 7.854 Å, 107.87 111.37 109.20°
Positions (direct):
1 Sc 0.540 0.724 0.816
2 Sc 0.460 0.276 0.184
3 Sc 0.092 0.276 0.816
4 Sc 0.908 0.724 0.184
5 Sc 0.796 0.758 0.553
6 Sc 0.204 0.242 0.447
7 Sc 0.204 0.758 0.962
8 Sc 0.796 0.242 0.038
9 Sc 0.716 0.394 0.677
10 Sc 0.284 0.606 0.323
11 Sc 0.284 0.961 0.677
12 Sc 0.716 0.039 0.323
13 Cu 0.500 0.371 0.871
14 Cu 0.500 0.629 0.129
15 Cu 0.640 0.000 0.640
16 Cu 0.360 0.000 0.360
17 Ag 0.000 0.500 0.500
18 Ag 0.000 0.000 0.000

Properties
* space group: Immm
* formation energy: -1.5 eV per formula unit

---

Density functional theory data (PBE) for a geometry-optimized Sr2Pu2Bi2S structure.

Cell: 5.267 5.267 9.477 Å, 106.13 106.13 90.00°
Last column: magnetic moment on the atom in μB.
Positions (direct):
1 Sr 0.174 0.174 0.348  0.04
2 Sr 0.826 0.826 0.652  0.04
3 Pu 0.000 0.500 0.000  5.55
4 Pu 0.500 0.000 0.000  5.55
5 Bi 0.370 0.370 0.741  -0.10
6 Bi 0.630 0.630 0.259  -0.10
7 S 0.000 0.000 0.000  -0.12

Properties
* space group: I4/mmm

---

Density functional theory data (PBE) for a geometry-optimized TaMn2Cu structure.

Cell: 4.239 2.625 4.835 Å, 83.89 90.00 90.00°
Last column: magnetic moment on the atom in μB.
Positions (direct):
1 Cu 0.500 0.750 0.750  0.04
2 Mn 0.000 0.996 0.991  1.63
3 Mn 0.000 0.504 0.509  1.63
4 Ta 0.500 0.250 0.250  -0.34

Properties
* space group: P2/m
* formation energy: 1.0 eV per formula unit

---

Density functional theory data (PBE) for a geometry-optimized TaGa2Pd structure.

Cell: 2.912 2.912 7.438 Å, 90.00 90.00 90.00°
Positions (direct):
1 Ga 0.000 0.000 0.768
2 Ga 0.000 0.000 0.232
3 Pd 0.500 0.500 0.000
4 Ta 0.500 0.500 0.500

Properties
* space group: P4/mmm
* formation energy: -1.4 eV per formula unit

---

Density functional theory data (PBE) for a geometry-optimized Ag5Hg structure.

Cell: 5.011 4.968 5.168 Å, 61.27 90.00 90.00°
Positions (direct):
1 Ag 0.500 0.803 0.395
2 Ag 0.000 0.639 0.721
3 Ag 0.500 0.472 0.056
4 Ag 0.000 0.305 0.390
5 Ag 0.500 0.142 0.717
6 Hg 0.000 0.972 0.056

Properties
* space group: Cmmm
* formation energy: 0.4 eV per formula unit
* energy above the most stable polymorph in this dataset: 0.17 eV/f.u.

---

Density functional theory data (PBE) for a geometry-optimized LaAlTe structure.

Cell: 6.083 6.082 3.847 Å, 71.57 71.56 36.87°
Positions (direct):
1 Te 0.647 0.647 0.353
2 Al 0.019 0.019 0.981
3 La 0.334 0.334 0.666

Properties
* space group: I4mm

---

Across the entries above, electronic total energy takes the values -5.62 -7.20 -8.33 -6.12 -2.36 -4.53 eV/atom, respectively.
Across the entries above, density of states at the Fermi level takes the values 11.44 18.72 4.61 1.95 2.13 2.81 states/eV/f.u., respectively.
Across the entries above, density takes the values 4.5 7.6 11.0 11.2 10.9 6.1 g/cm³, respectively.